# Sm2Hg2GePd4

Crystalline Sm2Hg2GePd4 at its relaxed geometry (GGA-PBE, Alexandria).

Cell and atoms, written as POSCAR:
```
Sm2Hg2GePd4
1.0
-3.1776 3.1776 4.9443
3.1776 -3.1776 4.9443
3.1776 3.1776 -4.9443
Sm Hg Ge Pd
2 2 1 4
Cartesian
0.0000 0.0000 2.0461
0.0000 0.0000 7.8426
3.1776 0.0000 2.4722
0.0000 3.1776 2.4722
0.0000 0.0000 4.9443
1.4490 1.4490 0.0000
1.7286 -1.7286 4.9443
-1.7286 1.7286 4.9443
1.7286 1.7286 4.9443
```

Computed properties:
Raw total energy in eV per atom: -4.247
Formation energy from the elements in meV per atom: -310
ρ in g/cm³: 9.98
Fermi-level density of states in states/eV per cell: 5.090



# Sm2HgGe4Pd3

Crystalline Sm2HgGe4Pd3 at its relaxed geometry (GGA-PBE, Alexandria).

Cell and atoms, written as POSCAR:
```
Sm2HgGe4Pd3
1.0
4.2972 0.0000 0.0000
0.0000 4.2972 0.0000
0.0000 0.0000 10.7584
Sm Hg Ge Pd
2 1 4 3
Cartesian
0.0000 2.1486 2.6281
2.1486 0.0000 8.1303
0.0000 0.0000 5.3792
0.0000 0.0000 0.0000
0.0000 2.1486 6.9895
2.1486 0.0000 3.7689
2.1486 2.1486 0.0000
0.0000 2.1486 9.4174
2.1486 0.0000 1.3410
2.1486 2.1486 5.3792
```

Computed properties:
Raw total energy in eV per atom: -5.040
Formation energy from the elements in meV per atom: -661
ρ in g/cm³: 9.29
Fermi-level density of states in states/eV per cell: 3.044



# Sr2HgGePd6

Crystalline Sr2HgGePd6 at its relaxed geometry (GGA-PBE, Alexandria).

Cell and atoms, written as POSCAR:
```
Sr2HgGePd6
1.0
5.6195 0.0000 0.0000
2.8067 6.0293 0.0000
2.8095 -0.2016 6.5408
Sr Hg Ge Pd
2 1 1 6
Cartesian
1.4114 1.3490 1.3824
9.8243 4.4787 5.1584
4.2131 3.0147 0.0000
4.2145 -0.1008 3.2704
2.7781 1.2556 4.7321
4.2434 2.3714 2.6880
5.6079 4.5870 1.7730
5.6278 1.2407 4.7678
6.9923 3.4564 3.8528
8.4576 4.5721 1.8087
```

Computed properties:
Raw total energy in eV per atom: -4.456
Formation energy from the elements in meV per atom: -512
ρ in g/cm³: 8.14
Fermi-level density of states in states/eV per cell: 3.378



# Sr2HgGe3Pd4

Crystalline Sr2HgGe3Pd4 at its relaxed geometry (GGA-PBE, Alexandria).

Cell and atoms, written as POSCAR:
```
Sr2HgGe3Pd4
1.0
4.5652 0.0000 0.0000
0.0000 4.5652 0.0000
0.0000 0.0000 10.1704
Sr Hg Ge Pd
2 1 3 4
Cartesian
0.0000 2.2826 2.5214
2.2826 0.0000 7.6490
0.0000 0.0000 5.0852
0.0000 2.2826 9.0374
2.2826 0.0000 1.1331
2.2826 2.2826 5.0852
0.0000 0.0000 0.0000
0.0000 2.2826 6.5764
2.2826 0.0000 3.5941
2.2826 2.2826 0.0000
```

Computed properties:
Raw total energy in eV per atom: -4.460
Formation energy from the elements in meV per atom: -631
ρ in g/cm³: 7.99
Fermi-level density of states in states/eV per cell: 4.141



# Sr2HgGe4Pd3

Crystalline Sr2HgGe4Pd3 at its relaxed geometry (GGA-PBE, Alexandria).

Cell and atoms, written as POSCAR:
```
Sr2HgGe4Pd3
1.0
4.4776 0.0000 0.0000
0.0000 4.4776 0.0000
0.0000 0.0000 10.5549
Sr Hg Ge Pd
2 1 4 3
Cartesian
0.0000 2.2388 2.5816
2.2388 0.0000 7.9733
0.0000 0.0000 5.2775
0.0000 0.0000 0.0000
0.0000 2.2388 6.7848
2.2388 0.0000 3.7701
2.2388 2.2388 0.0000
0.0000 2.2388 9.2897
2.2388 0.0000 1.2652
2.2388 2.2388 5.2775
```

Computed properties:
Raw total energy in eV per atom: -4.343
Formation energy from the elements in meV per atom: -571
ρ in g/cm³: 7.73
Fermi-level density of states in states/eV per cell: 4.427



# TaHgGePd2

Crystalline TaHgGePd2 at its relaxed geometry (GGA-PBE, Alexandria).

Cell and atoms, written as POSCAR:
```
TaHgGePd2
1.0
4.8682 0.0000 0.0000
0.0000 4.8682 0.0000
0.0000 0.0000 5.3389
Ta Hg Ge Pd
1 1 1 2
Cartesian
0.0000 0.0000 0.0000
0.0000 0.0000 2.6695
2.4341 2.4341 2.6695
0.0000 2.4341 0.0000
2.4341 0.0000 0.0000
```

Computed properties:
Raw total energy in eV per atom: -4.411
Formation energy from the elements in meV per atom: 1021
ρ in g/cm³: 8.75
Fermi-level density of states in states/eV per cell: 4.597



# Tb2Hg2GePd4

Crystalline Tb2Hg2GePd4 at its relaxed geometry (GGA-PBE, Alexandria).

Cell and atoms, written as POSCAR:
```
Tb2Hg2GePd4
1.0
-3.1635 3.1635 4.8479
3.1635 -3.1635 4.8479
3.1635 3.1635 -4.8479
Tb Hg Ge Pd
2 2 1 4
Cartesian
0.0000 0.0000 1.9903
0.0000 0.0000 7.7055
3.1635 0.0000 2.4240
0.0000 3.1635 2.4240
0.0000 0.0000 4.8479
1.4396 1.4396 0.0000
1.7240 -1.7240 4.8479
-1.7240 1.7240 4.8479
1.7240 1.7240 4.8479
```

Computed properties:
Raw total energy in eV per atom: -4.265
Formation energy from the elements in meV per atom: -348
ρ in g/cm³: 10.42
Fermi-level density of states in states/eV per cell: 4.157



# HgGeTe2Pd

Crystalline HgGeTe2Pd at its relaxed geometry (GGA-PBE, Alexandria).

Cell and atoms, written as POSCAR:
```
HgGeTe2Pd
1.0
5.4472 0.0000 0.0000
0.0000 5.4472 0.0000
0.0000 0.0000 5.0662
Hg Ge Te Pd
1 1 2 1
Cartesian
0.0000 0.0000 0.0000
0.0000 0.0000 2.5331
0.0000 2.7236 2.5331
2.7236 0.0000 2.5331
2.7236 2.7236 0.0000
```

Computed properties:
Raw total energy in eV per atom: -2.670
ρ in g/cm³: 7.01
Fermi-level density of states in states/eV per cell: 3.472
Uncorrected formation energy in eV per formula unit: 3.04



The highest raw total energy belongs to which entry?
HgGeTe2Pd



Please write out number 3 again, unchanged.
# Sr2HgGePd6

Crystalline Sr2HgGePd6 at its relaxed geometry (GGA-PBE, Alexandria).

Cell and atoms, written as POSCAR:
```
Sr2HgGePd6
1.0
5.6195 0.0000 0.0000
2.8067 6.0293 0.0000
2.8095 -0.2016 6.5408
Sr Hg Ge Pd
2 1 1 6
Cartesian
1.4114 1.3490 1.3824
9.8243 4.4787 5.1584
4.2131 3.0147 0.0000
4.2145 -0.1008 3.2704
2.7781 1.2556 4.7321
4.2434 2.3714 2.6880
5.6079 4.5870 1.7730
5.6278 1.2407 4.7678
6.9923 3.4564 3.8528
8.4576 4.5721 1.8087
```

Computed properties:
Raw total energy in eV per atom: -4.456
Formation energy from the elements in meV per atom: -512
ρ in g/cm³: 8.14
Fermi-level density of states in states/eV per cell: 3.378